1.
# Ca4Tl5Pb

A geometry-optimized Ca4Tl5Pb structure (PBE-GGA, Alexandria).

Structure (POSCAR):
```
Ca4Tl5Pb
1.0
3.987 0.000 0.000
0.000 3.987 0.000
0.000 0.000 18.706
Ca Tl Pb
4 5 1
Direct
0.000 0.000 0.100
0.000 0.000 0.304
0.000 0.000 0.696
0.000 0.000 0.900
0.500 0.500 0.000
0.500 0.500 0.200
0.500 0.500 0.403
0.500 0.500 0.597
0.500 0.500 0.800
0.000 0.000 0.500
```

Values from the calculation:
ΔH_f (0 K), kcal/mol of atoms: -7.78
E, eV per atom: -2.692
SG: P4/mmm (123)

---

2.
# CaTl6Pb3

A geometry-optimized CaTl6Pb3 structure (PBE-GGA, Alexandria).

Structure (POSCAR):
```
CaTl6Pb3
1.0
4.735 -8.302 0.000
4.735 8.302 0.000
0.000 0.000 8.166
Ca Tl Pb
2 12 6
Direct
0.190 0.810 0.500
0.810 0.190 0.000
0.040 0.960 0.211
0.125 0.471 0.742
0.254 0.341 0.043
0.282 0.718 0.102
0.341 0.254 0.543
0.471 0.125 0.242
0.529 0.875 0.742
0.659 0.746 0.043
0.718 0.282 0.602
0.746 0.659 0.543
0.875 0.529 0.242
0.960 0.040 0.711
0.030 0.313 0.364
0.313 0.030 0.864
0.396 0.604 0.441
0.604 0.396 0.941
0.687 0.970 0.364
0.970 0.687 0.864
```

Values from the calculation:
ΔH_f (0 K), kcal/mol of atoms: -0.88
E, eV per atom: -2.770
SG: Cmc2_1 (36)

---

3.
# Ca2Tl5Pb2

A geometry-optimized Ca2Tl5Pb2 structure (PBE-GGA, Alexandria).

Structure (POSCAR):
```
Ca2Tl5Pb2
1.0
4.047 0.000 0.000
2.016 6.229 0.000
0.006 3.116 11.048
Ca Tl Pb
2 5 2
Direct
0.143 0.216 0.365
0.857 0.784 0.635
0.156 0.181 0.070
0.169 0.160 0.690
0.500 0.500 0.500
0.831 0.840 0.310
0.844 0.819 0.930
0.458 0.588 0.164
0.542 0.412 0.836
```

Values from the calculation:
ΔH_f (0 K), kcal/mol of atoms: -4.06
Polymorph energy (0 for the lowest one), meV per atom: 0
E, eV per atom: -2.759
SG: P-1 (2)

---

4.
# Ca4Tl3Pb4

A geometry-optimized Ca4Tl3Pb4 structure (PBE-GGA, Alexandria).

Structure (POSCAR):
```
Ca4Tl3Pb4
1.0
3.759 0.000 0.000
0.002 4.936 0.000
0.991 2.359 18.498
Ca Tl Pb
4 3 4
Direct
0.026 0.175 0.146
0.035 0.552 0.398
0.965 0.448 0.602
0.974 0.825 0.854
0.438 0.640 0.217
0.500 0.000 0.500
0.562 0.360 0.783
0.304 0.269 0.963
0.417 0.909 0.683
0.583 0.091 0.317
0.696 0.731 0.037
```

Values from the calculation:
ΔH_f (0 K), kcal/mol of atoms: -6.93
E, eV per atom: -3.022
SG: P-1 (2)

---

5.
# CaTl5Pb

A geometry-optimized CaTl5Pb structure (PBE-GGA, Alexandria).

Structure (POSCAR):
```
CaTl5Pb
1.0
-3.004 4.512 6.188
3.004 -4.512 6.188
3.004 4.512 -6.188
Ca Tl Pb
1 5 1
Direct
0.000 0.000 0.000
0.166 0.500 0.666
0.254 0.254 0.000
0.500 0.000 0.500
0.746 0.746 0.000
0.834 0.500 0.334
0.500 0.500 0.000
```

Values from the calculation:
ΔH_f (0 K), kcal/mol of atoms: 7.46
E, eV per atom: -2.182
SG: Immm (71)

---

6.
# Ca2Tl6Pb3

A geometry-optimized Ca2Tl6Pb3 structure (PBE-GGA, Alexandria).

Structure (POSCAR):
```
Ca2Tl6Pb3
1.0
-2.249 2.249 17.756
2.249 -2.249 17.756
2.249 2.249 -17.756
Ca Tl Pb
2 6 3
Direct
0.049 0.049 0.000
0.951 0.951 0.000
0.121 0.621 0.500
0.214 0.214 0.000
0.379 0.879 0.500
0.621 0.121 0.500
0.786 0.786 0.000
0.879 0.379 0.500
0.310 0.310 0.000
0.500 0.500 0.000
0.690 0.690 0.000
```

Values from the calculation:
ΔH_f (0 K), kcal/mol of atoms: -1.13
E, eV per atom: -2.715
SG: I4/mmm (139)